This record from Alexandria via LeMat-Bulk describes TlSnHg2Bi after structural relaxation. The functional is PBE.

Computed properties:
Calculated volume ... 32.3 Å³/atom
Space group ... Cmcm
DFT formation energy ... 0.068 eV per atom

Lattice parameters (Å, degrees): 9.431 9.431 10.108 90.00 90.00 158.93
Fractional positions:
Tl  0.216  0.784  0.750
Tl  0.784  0.216  0.250
Sn  0.000  0.000  0.000
Sn  0.000  0.000  0.500
Hg  0.159  0.841  0.075
Hg  0.159  0.841  0.425
Hg  0.841  0.159  0.575
Hg  0.841  0.159  0.925
Bi  0.444  0.556  0.250
Bi  0.556  0.444  0.750